Entry 1:
Material: Ba2MnCu
Method: DFT, PBE
State: optimized geometry

Values from the calculation:
The calculation puts the formation energy at 0.523 eV per atom. The value obtained for the energy is -3.755 eV per atom. The density of states at the Fermi level is 11.74 states/eV per cell. As for the total moment: 0.9478 μB per atom.

Lattice parameters (Å, degrees): 4.5249 4.5249 25.5511 90.00 90.00 120.00
Space group R-3m (No. 166, hexagonal axes)
Inequivalent atoms, fractional coordinates:
Ba1 0.0000 0.0000 0.2443 [6 per cell]
Mn1 0.0000 0.0000 0.0000 [3 per cell]
Cu1 0.0000 0.0000 0.5000 [3 per cell]

---

Entry 2:
Material: BaMnCu
Method: DFT, PBE
State: optimized geometry

Values from the calculation:
The calculation puts the formation energy at 0.619 eV per atom. The value obtained for the energy is -4.444 eV per atom. The density of states at the Fermi level is 12.31 states/eV per cell. As for the total moment: 1.3312 μB per atom.

Lattice parameters (Å, degrees): 7.082 7.082 7.082 90.00 90.00 90.00
Space group F-43m (No. 216)
Inequivalent atoms, fractional coordinates:
Ba1 0.000 0.000 0.000 [4 per cell]
Mn1 0.000 0.000 0.500 [4 per cell]
Cu1 0.250 0.250 0.250 [4 per cell]

---

Entry 3:
Material: BaMn2Cu
Method: DFT, PBE
State: optimized geometry

Values from the calculation:
The calculation puts the formation energy at 0.568 eV per atom. The value obtained for the energy is -5.522 eV per atom. The density of states at the Fermi level is 3.84 states/eV per cell. As for the total moment: 2.0010 μB per atom.

Lattice parameters (Å, degrees): 3.469 4.283 6.655 90.00 105.05 90.00
Space group Pm (No. 6)
Inequivalent atoms, fractional coordinates:
Ba1 0.000 0.000 0.000 [1 per cell]
Mn1 0.292 0.500 0.588 [1 per cell]
Mn2 0.749 0.000 0.501 [1 per cell]
Cu1 0.647 0.500 0.297 [1 per cell]